(1)
Below is crystalline La4InBi2 at its relaxed geometry, with properties calculated at the PBE level.

Cell lengths 9.5086, 9.5086, 9.5086 Å; angles 144.46, 144.46, 51.14 degrees
With the nearest neighbours (Å) after each atom.
Fractional coordinates of all 7 atoms:
La 0.0000 0.5000 0.5000  2 In 2.90
La 0.1818 0.1818 0.0000  1 In 3.12, 1 Bi 3.24
La 0.5000 0.0000 0.5000  2 In 2.90
La 0.8182 0.8182 0.0000  1 In 3.12, 1 Bi 3.24
In 0.0000 0.0000 0.0000  6 La 2.90-3.12
Bi 0.3704 0.3704 0.0000  1 La 3.24
Bi 0.6296 0.6296 0.0000  1 La 3.24

Values from the calculation:
Calculated formation energy ... -2.00 eV/f.u.
Space group ... I4/mmm (139)

=====

(2)
Below is crystalline Ta2PtRh3 at its relaxed geometry, with properties calculated at the PBE level.

Cell lengths 6.3876, 6.3876, 8.8199 Å; angles 115.95, 115.95, 36.40 degrees
With the nearest neighbours (Å) after each atom.
Fractional coordinates of all 12 atoms:
Ta 0.0217 0.0217 0.3461  4 Rh 2.59-2.70, 2 Pt 2.78
Ta 0.2886 0.2886 0.6445  4 Rh 2.65-2.72, 3 Pt 2.75-2.96
Ta 0.7114 0.7114 0.3555  4 Rh 2.65-2.72, 3 Pt 2.75-2.96
Ta 0.9783 0.9783 0.6539  4 Rh 2.59-2.70, 2 Pt 2.78
Pt 0.3752 0.3752 0.3806  7 Ta 2.75-2.96, 1 Pt 2.78, 4 Rh 2.79-2.85
Pt 0.6248 0.6248 0.6194  7 Ta 2.75-2.96, 1 Pt 2.78, 4 Rh 2.79-2.85
Rh 0.1264 0.1264 0.1343  3 Ta 2.65-2.70, 1 Pt 2.79, 8 Rh 2.80-2.89
Rh 0.2097 0.2097 0.8791  2 Ta 2.59-2.65, 8 Rh 2.75-2.87, 2 Pt 2.85
Rh 0.4644 0.4644 0.1331  3 Ta 2.61-2.72, 8 Rh 2.80-2.89, 1 Pt 2.85
Rh 0.5356 0.5356 0.8669  3 Ta 2.61-2.72, 8 Rh 2.80-2.89, 1 Pt 2.85
Rh 0.7903 0.7903 0.1209  2 Ta 2.59-2.65, 8 Rh 2.75-2.87, 2 Pt 2.85
Rh 0.8736 0.8736 0.8657  3 Ta 2.65-2.70, 1 Pt 2.79, 8 Rh 2.80-2.89

Values from the calculation:
Calculated formation energy ... -2.73 eV/f.u.
Space group ... C2/m (12)

=====

(3)
Below is crystalline CeU2RhS5 at its relaxed geometry, with properties calculated at the PBE level.

Cell lengths 8.2074, 8.2074, 8.2074 Å; angles 127.52, 127.52, 77.40 degrees
With the nearest neighbours (Å) after each atom.
Fractional coordinates of all 18 atoms:
Ce 0.2500 0.2500 0.0000  10 S 3.02-3.20
Ce 0.7500 0.7500 0.0000  10 S 3.02-3.20
U 0.1208 0.6208 0.7415  1 U 2.48, 2 S 2.72
U 0.3792 0.1208 0.5000  1 U 2.48, 2 S 2.72
U 0.6208 0.8792 0.5000  1 U 2.48, 2 S 2.72
U 0.8792 0.3792 0.2585  1 U 2.48, 2 S 2.72
Rh 0.2500 0.7500 0.5000  4 S 2.32
Rh 0.7500 0.2500 0.5000  4 S 2.32
S 0.0000 0.0000 0.0000  4 U 2.89, 2 Ce 3.20, 8 S 3.21
S 0.0393 0.1823 0.5000  1 Rh 2.32
S 0.1823 0.6823 0.1430  1 Rh 2.32
S 0.3177 0.4607 0.5000  1 Rh 2.32
S 0.4607 0.9607 0.1430  1 Rh 2.32
S 0.5000 0.5000 0.0000  4 U 2.89, 2 Ce 3.20, 8 S 3.21
S 0.5393 0.0393 0.8570  1 Rh 2.32
S 0.6823 0.5393 0.5000  1 Rh 2.32
S 0.8177 0.3177 0.8570  1 Rh 2.32
S 0.9607 0.8177 0.5000  1 Rh 2.32

Values from the calculation:
Uncorrected formation energy ... -1.326 eV/atom
Space group ... I4/mcm (140)

=====

(4)
Below is crystalline HfSnH2 at its relaxed geometry, with properties calculated at the PBE level.

Cell lengths 6.8398, 6.8398, 6.8398 Å; angles 143.96, 143.96, 51.89 degrees
With the nearest neighbours (Å) after each atom.
Fractional coordinates of all 8 atoms:
Hf 0.0000 0.0000 0.0000  4 H 1.90
Hf 0.7500 0.2500 0.5000  4 H 1.90
Sn 0.2500 0.7500 0.5000  4 H 2.57
Sn 0.5000 0.5000 0.0000  4 H 2.57
H 0.3750 0.2072 0.3322  2 Hf 1.90
H 0.7928 0.1250 0.1678  2 Hf 1.90
H 0.8750 0.0428 0.6678  2 Hf 1.90
H 0.9572 0.6250 0.8322  2 Hf 1.90

Values from the calculation:
Energy above the lowest structure with this stoichiometry ... 226.5 meV per atom
Space group ... I-42d (122)

=====

(5)
Below is crystalline LaMg2Zn2Pd at its relaxed geometry, with properties calculated at the PBE level.

Cell lengths 6.6505, 6.6505, 6.6505 Å; angles 135.34, 135.34, 65.01 degrees
With the nearest neighbours (Å) after each atom.
Fractional coordinates of all 6 atoms:
La 0.0000 0.0000 0.0000  2 Zn 3.16
Mg 0.2500 0.7500 0.5000  4 Zn 2.55
Mg 0.7500 0.2500 0.5000  4 Zn 2.55
Zn 0.2821 0.2821 0.0000  1 Pd 2.44, 4 Mg 2.55
Zn 0.7179 0.7179 0.0000  1 Pd 2.44, 4 Mg 2.55
Pd 0.5000 0.5000 0.0000  2 Zn 2.44

Values from the calculation:
Calculated formation energy ... -0.13 eV/f.u.
Space group ... I4/mmm (139)

=====

(6)
Below is crystalline BeP2BrO at its relaxed geometry, with properties calculated at the PBE level.

Cell lengths 4.9955, 4.9955, 3.0405 Å; angles 90.00, 90.00, 90.00 degrees
With the nearest neighbours (Å) after each atom.
Fractional coordinates of all 5 atoms:
Be 0.0000 0.0000 0.0000  2 O 1.52
P 0.0000 0.5000 0.0000  2 Be 2.50
P 0.5000 0.0000 0.0000  2 Be 2.50
Br 0.5000 0.5000 0.5000  8 P 2.92, 2 Br 3.04
O 0.0000 0.0000 0.5000  2 Be 1.52

Values from the calculation:
Uncorrected formation energy ... 0.207 eV/atom
Energy above the lowest structure with this stoichiometry ... 0.0 meV per atom
Space group ... P4/mmm (123)

=====

(7)
Below is crystalline KNiPt at its relaxed geometry, with properties calculated at the PBE level.

Cell lengths 6.2570, 6.2570, 6.2570 Å; angles 148.69, 148.69, 44.87 degrees
With the nearest neighbours (Å) after each atom.
Fractional coordinates of all 3 atoms:
K 0.0000 0.0000 0.0000  1 Ni 3.14, 5 Pt 3.21-3.51, 4 K 3.38
Ni 0.7284 0.7284 0.0000  4 Pt 2.46
Pt 0.2778 0.2778 0.0000  4 Ni 2.46

Values from the calculation:
Calculated formation energy ... 0.53 eV/f.u.
Energy above the lowest structure with this stoichiometry ... 89.3 meV per atom
Space group ... I4mm (107)

=====

(8)
Below is crystalline NaU3Tl2Se8 at its relaxed geometry, with properties calculated at the PBE level.

Cell lengths 9.1587, 9.1587, 9.1587 Å; angles 54.83, 54.83, 54.83 degrees
With the nearest neighbours (Å) after each atom.
Fractional coordinates of all 14 atoms:
Na 0.0000 0.0000 0.0000  4 Se 2.94-3.26
U 0.1232 0.6260 0.6260  6 Se 2.78-2.89
U 0.6260 0.1232 0.6260  6 Se 2.78-2.89
U 0.6260 0.6260 0.1232  6 Se 2.78-2.89
Tl 0.2541 0.2541 0.2541  4 Se 3.04-3.28
Tl 0.6280 0.6280 0.6280  6 Se 3.24-3.31
Se 0.3707 0.3707 0.8274  2 U 2.78, 1 Tl 3.04
Se 0.3707 0.8274 0.3707  2 U 2.78, 1 Tl 3.04
Se 0.3949 0.3949 0.3949  3 U 2.86
Se 0.4147 0.8828 0.8828  2 U 2.80, 1 Na 2.94
Se 0.8274 0.3707 0.3707  2 U 2.78, 1 Tl 3.04
Se 0.8600 0.8600 0.8600  3 U 2.89
Se 0.8828 0.4147 0.8828  2 U 2.80, 1 Na 2.94
Se 0.8828 0.8828 0.4147  2 U 2.80, 1 Na 2.94

Values from the calculation:
Uncorrected formation energy ... -0.973 eV/atom
Space group ... R3m (160)

=====

(9)
Below is crystalline TaNi7Pt2 at its relaxed geometry, with properties calculated at the PBE level.

Cell lengths 7.8714, 7.8714, 2.6170 Å; angles 90.00, 90.00, 118.13 degrees
With the nearest neighbours (Å) after each atom.
Fractional coordinates of all 10 atoms:
Ta 0.0000 0.0000 0.0000  2 Ta 2.62, 8 Ni 2.71, 4 Pt 2.92
Ni 0.1604 0.3424 0.5000  6 Ni 2.36-2.62, 1 Pt 2.46
Ni 0.3424 0.1604 0.5000  6 Ni 2.36-2.62, 1 Pt 2.46
Ni 0.3503 0.6497 0.0000  8 Ni 2.41-2.62, 2 Pt 2.50
Ni 0.5000 0.5000 0.5000  10 Ni 2.36-2.62
Ni 0.6497 0.3503 0.0000  8 Ni 2.41-2.62, 2 Pt 2.50
Ni 0.6576 0.8396 0.5000  6 Ni 2.36-2.62, 1 Pt 2.46
Ni 0.8396 0.6576 0.5000  6 Ni 2.36-2.62, 1 Pt 2.46
Pt 0.1929 0.8071 0.5000  4 Ni 2.46-2.50, 2 Pt 2.62
Pt 0.8071 0.1929 0.5000  4 Ni 2.46-2.50, 2 Pt 2.62

Values from the calculation:
Calculated formation energy ... 1.90 eV/f.u.
Space group ... Cmmm (65)

=====

(10)
Below is crystalline MgZn3Ag4 at its relaxed geometry, with properties calculated at the PBE level.

Cell lengths 2.8890, 4.3660, 10.7047 Å; angles 90.00, 90.00, 90.00 degrees
With the nearest neighbours (Å) after each atom.
Fractional coordinates of all 8 atoms:
Mg 0.0000 0.0000 0.0000  2 Zn 2.73, 7 Ag 2.82-3.00, 2 Mg 2.89
Zn 0.0000 0.5000 0.8473  5 Ag 2.72-2.80, 2 Mg 2.73, 2 Zn 2.89
Zn 0.5000 0.0000 0.4984  4 Zn 2.64-2.89, 7 Ag 2.74-2.90
Zn 0.5000 0.5000 0.3599  4 Zn 2.64-2.89, 7 Ag 2.71-2.89
Ag 0.0000 0.0000 0.2631  6 Zn 2.82-2.90, 1 Mg 2.82, 6 Ag 2.89-3.11
Ag 0.0000 0.5000 0.5934  7 Zn 2.72-2.89, 2 Ag 2.89
Ag 0.5000 0.0000 0.7548  5 Zn 2.74-2.80, 2 Ag 2.89, 2 Mg 3.00
Ag 0.5000 0.5000 0.1064  1 Zn 2.71, 4 Mg 2.85, 2 Ag 2.89

Values from the calculation:
Calculated formation energy ... -0.47 eV/f.u.
Energy above the lowest structure with this stoichiometry ... 31.8 meV per atom
Space group ... Pmm2 (25)

=====

(11)
Below is crystalline Sr2CeInPd6 at its relaxed geometry, with properties calculated at the PBE level.

Cell lengths 7.1935, 7.1935, 7.1935 Å; angles 60.00, 60.00, 60.00 degrees
With the nearest neighbours (Å) after each atom.
Fractional coordinates of all 10 atoms:
Sr 0.2500 0.2500 0.2500  12 Pd 3.60
Sr 0.7500 0.7500 0.7500  12 Pd 3.60
Ce 0.0000 0.0000 0.0000  6 Pd 2.51
In 0.5000 0.5000 0.5000  6 Pd 2.58
Pd 0.2464 0.2464 0.7536  1 Ce 2.51, 1 In 2.58
Pd 0.2464 0.7536 0.2464  1 Ce 2.51, 1 In 2.58
Pd 0.2464 0.7536 0.7536  1 Ce 2.51, 1 In 2.58
Pd 0.7536 0.2464 0.2464  1 Ce 2.51, 1 In 2.58
Pd 0.7536 0.2464 0.7536  1 Ce 2.51, 1 In 2.58
Pd 0.7536 0.7536 0.2464  1 Ce 2.51, 1 In 2.58

Values from the calculation:
Calculated formation energy ... -1.85 eV/f.u.
Space group ... Fm-3m (225)

=====

(12)
Below is crystalline GeBiTeP2 at its relaxed geometry, with properties calculated at the PBE level.

Cell lengths 5.2107, 5.2107, 5.6174 Å; angles 90.00, 90.00, 90.00 degrees
With the nearest neighbours (Å) after each atom.
Fractional coordinates of all 5 atoms:
Ge 0.0000 0.0000 0.0000  2 Bi 2.81
Bi 0.0000 0.0000 0.5000  4 P 2.61, 2 Ge 2.81
Te 0.5000 0.5000 0.0000  4 Ge 3.68, 8 P 3.83
P 0.0000 0.5000 0.5000  2 Bi 2.61
P 0.5000 0.0000 0.5000  2 Bi 2.61

Values from the calculation:
Uncorrected formation energy ... 1.212 eV/atom
Space group ... P4/mmm (123)

=====

| no. | total DFT energy (no corrections) (eV/f.u.) | calculated volume (A^3/atom) |
| --- | --- | --- |
| 1 | -32.2 | 41.3 |
| 2 | -54.5 | 15.8 |
| 3 | -68.4 | 18.7 |
| 4 | -21.1 | 13.8 |
| 5 | -16.0 | 23.9 |
| 6 | -20.1 | 15.2 |
| 7 | -12.4 | 22.0 |
| 8 | -81.4 | 34.1 |
| 9 | -62.5 | 14.3 |
| 10 | -17.3 | 16.9 |
| 11 | -45.0 | 26.3 |
| 12 | -16.4 | 30.5 |